Here is a relaxed TaAl2CrW crystal from the Alexandria database. Energies are from PBE.

Summary:
- DOS at the Fermi energy (states/eV/f.u.) = 7.9
- formation enthalpy at 0 K (kcal/mol of atoms) = 42.5
- V (Å³/f.u.) = 102
- symmetry = P4/mmm, No. 123

a = 4.814 Å, b = 4.398 Å, c = 4.814 Å
α = 90.00°, β = 90.00°, γ = 90.00°
Element x y z (fractional)
Cr: 0.000 0.500 0.000
Al: 0.000 0.000 0.500
Al: 0.500 0.000 0.000
W: 0.500 0.500 0.500
Ta: 0.000 0.000 0.000